# 1
Compound: ReSi2Au
Source: Alexandria via LeMat-Bulk
Functional: GGA-PBE
Structure: optimized geometry

Properties
raw formation energy	0.074	eV/atom
space group	R-3m (166)
polymorph energy (0 for the lowest one)	93	meV/atom

Lattice parameters (Å, degrees): 8.2302 8.2302 8.2302 20.72 20.72 20.72
Closest atoms and distances in Å follow each position.
Atoms (fractional coordinates):
Au  0.2500  0.2500  0.2500  6 Si 2.76, 6 Au 2.96
Re  0.7500  0.7500  0.7500  6 Si 2.52
Si  0.0064  0.0064  0.0064  3 Re 2.52, 3 Au 2.76
Si  0.4936  0.4936  0.4936  3 Re 2.52, 3 Au 2.76

---

# 2
Compound: Ta2TlSb
Source: Alexandria via LeMat-Bulk
Functional: GGA-PBE
Structure: optimized geometry

Properties
raw formation energy	0.528	eV/atom
space group	P4/mmm (123)
polymorph energy (0 for the lowest one)	298	meV/atom

Lattice parameters (Å, degrees): 3.1694 5.0439 5.0439 90.00 90.00 90.00
Closest atoms and distances in Å follow each position.
Atoms (fractional coordinates):
Sb  0.5000  0.0000  0.5000  8 Ta 2.98, 2 Sb 3.17
Ta  0.0000  0.0000  0.0000  4 Sb 2.98, 4 Tl 2.98, 2 Ta 3.17
Ta  0.0000  0.5000  0.5000  4 Tl 2.98, 4 Sb 2.98, 2 Ta 3.17
Tl  0.5000  0.5000  0.0000  8 Ta 2.98, 2 Tl 3.17

---

# 3
Compound: NpO2F
Source: Alexandria via LeMat-Bulk
Functional: GGA-PBE
Structure: optimized geometry

Properties
raw formation energy	-2.664	eV/atom
space group	Fm-3m (225)
polymorph energy (0 for the lowest one)	0	meV/atom

Lattice parameters (Å, degrees): 3.8483 3.8483 3.8483 60.00 60.00 60.00
Closest atoms and distances in Å follow each position.
Atoms (fractional coordinates):
Np  0.5000  0.5000  0.5000  8 O 2.36
O  0.2500  0.2500  0.2500  4 F 2.36, 4 Np 2.36
O  0.7500  0.7500  0.7500  4 Np 2.36, 4 F 2.36
F  0.0000  0.0000  0.0000  8 O 2.36

---

# 4
Compound: InGa2TcN
Source: Alexandria via LeMat-Bulk
Functional: GGA-PBE
Structure: optimized geometry

Properties
raw formation energy	1.133	eV/atom
space group	P4/mmm (123)

Lattice parameters (Å, degrees): 4.8336 4.8336 5.2368 90.00 90.00 90.00
Closest atoms and distances in Å follow each position.
Atoms (fractional coordinates):
N  0.5000  0.5000  0.5000  4 In 3.42, 8 Ga 3.56
Tc  0.0000  0.0000  0.0000  4 Ga 2.42, 2 In 2.62
Ga  0.0000  0.5000  0.0000  2 Tc 2.42
Ga  0.5000  0.0000  0.0000  2 Tc 2.42
In  0.0000  0.0000  0.5000  2 Tc 2.62

---

# 5
Compound: PmZn4Pt4
Source: Alexandria via LeMat-Bulk
Functional: GGA-PBE
Structure: optimized geometry

Properties
space group	P4_2/nmc (137)
calculated formation energy	-13.41	kcal/mol of atoms

Lattice parameters (Å, degrees): 5.8324 5.8324 9.0747 90.00 90.00 90.00
Closest atoms and distances in Å follow each position.
Atoms (fractional coordinates):
Pm  0.0000  0.0000  0.0000  4 Pt 3.04, 8 Zn 3.27
Pm  0.5000  0.5000  0.5000  4 Pt 3.04, 8 Zn 3.27
Zn  0.2203  0.5000  0.9215  5 Pt 2.56-2.66, 3 Zn 2.57-2.71
Zn  0.7797  0.5000  0.9215  5 Pt 2.56-2.66, 3 Zn 2.57-2.71
Zn  0.5000  0.7797  0.0785  5 Pt 2.56-2.66, 3 Zn 2.57-2.71
Zn  0.5000  0.2203  0.0785  5 Pt 2.56-2.66, 3 Zn 2.57-2.71
Zn  0.0000  0.7203  0.4215  5 Pt 2.56-2.66, 3 Zn 2.57-2.71
Zn  0.0000  0.2797  0.4215  5 Pt 2.56-2.66, 3 Zn 2.57-2.71
Zn  0.2797  0.0000  0.5785  5 Pt 2.56-2.66, 3 Zn 2.57-2.71
Zn  0.7203  0.0000  0.5785  5 Pt 2.56-2.66, 3 Zn 2.57-2.71
Pt  0.5000  0.7667  0.7874  5 Zn 2.56-2.66, 1 Pt 2.72
Pt  0.5000  0.2333  0.7874  5 Zn 2.56-2.66, 1 Pt 2.72
Pt  0.7667  0.5000  0.2126  5 Zn 2.56-2.66, 1 Pt 2.72
Pt  0.2333  0.5000  0.2126  5 Zn 2.56-2.66, 1 Pt 2.72
Pt  0.2667  0.0000  0.2874  5 Zn 2.56-2.66, 1 Pt 2.72
Pt  0.7333  0.0000  0.2874  5 Zn 2.56-2.66, 1 Pt 2.72
Pt  0.0000  0.2667  0.7126  5 Zn 2.56-2.66, 1 Pt 2.72
Pt  0.0000  0.7333  0.7126  5 Zn 2.56-2.66, 1 Pt 2.72

---

# 6
Compound: Sr2TlP2
Source: Alexandria via LeMat-Bulk
Functional: GGA-PBE
Structure: optimized geometry

Properties
space group	I4/mmm (139)
calculated formation energy	-10.98	kcal/mol of atoms
polymorph energy (0 for the lowest one)	304	meV/atom

Lattice parameters (Å, degrees): 5.2624 5.2624 6.5905 66.47 66.47 90.00
Closest atoms and distances in Å follow each position.
Atoms (fractional coordinates):
Sr  0.7500  0.2500  0.5000  4 P 3.07
Sr  0.2500  0.7500  0.5000  4 P 3.07
Tl  0.0000  0.0000  0.0000  8 Sr 3.78, 8 P 3.89
P  0.3961  0.3961  0.2078  1 P 2.26
P  0.6039  0.6039  0.7922  1 P 2.26

---

# 7
Compound: ZrHgBOs2
Source: Alexandria via LeMat-Bulk
Functional: GGA-PBE
Structure: optimized geometry

Properties
space group	P4/mmm (123)
calculated formation energy	7.13	kcal/mol of atoms

Lattice parameters (Å, degrees): 4.2618 4.3568 4.2618 90.00 90.00 90.00
Closest atoms and distances in Å follow each position.
Atoms (fractional coordinates):
B  0.0000  0.0000  0.0000  4 Os 2.13, 2 Hg 2.18
Os  0.0000  0.0000  0.5000  2 B 2.13
Os  0.5000  0.0000  0.0000  2 B 2.13
Hg  0.0000  0.5000  0.0000  2 B 2.18
Zr  0.5000  0.5000  0.5000  4 Hg 3.01, 8 Os 3.05

---

# 8
Compound: Ta2TiPd
Source: Alexandria via LeMat-Bulk
Functional: GGA-PBE
Structure: optimized geometry

Properties
space group	P4/mmm (123)
calculated formation energy	-2.19	kcal/mol of atoms
polymorph energy (0 for the lowest one)	125	meV/atom

Lattice parameters (Å, degrees): 4.4222 3.9329 3.9329 90.00 90.00 90.00
Closest atoms and distances in Å follow each position.
Atoms (fractional coordinates):
Ti  0.5000  0.0000  0.0000  4 Pd 2.78, 8 Ta 2.96
Pd  0.5000  0.5000  0.5000  4 Ti 2.78, 8 Ta 2.96
Ta  0.0000  0.0000  0.5000  4 Ta 2.78, 4 Pd 2.96, 4 Ti 2.96
Ta  0.0000  0.5000  0.0000  4 Ta 2.78, 4 Pd 2.96, 4 Ti 2.96

---

# 9
Compound: Th6Pt2C3Se
Source: Alexandria via LeMat-Bulk
Functional: GGA-PBE
Structure: optimized geometry

Properties
raw formation energy	-0.789	eV/atom
space group	C2/m (12)

Lattice parameters (Å, degrees): 3.8333 8.3090 9.1045 108.20 102.15 90.00
Closest atoms and distances in Å follow each position.
Atoms (fractional coordinates):
Th  0.3219  0.9322  0.6438  3 C 2.66-2.72
Th  0.6554  0.6103  0.3108  3 C 2.62-2.67
Th  0.6781  0.0678  0.3562  3 C 2.66-2.72
Th  0.9947  0.2779  0.9894  3 C 2.62-2.64
Th  0.0053  0.7221  0.0106  3 C 2.62-2.64
Th  0.3446  0.3897  0.6892  3 C 2.62-2.67
Pt  0.8279  0.6562  0.6558  6 Th 2.97-3.03
Pt  0.1721  0.3438  0.3442  6 Th 2.97-3.03
C  0.5000  0.5000  0.0000  6 Th 2.62-2.64
C  0.8395  0.1634  0.6789  6 Th 2.62-2.72
C  0.1605  0.8366  0.3211  6 Th 2.62-2.72
Se  0.5000  0.0000  0.0000  6 Th 3.03-3.04

---

# 10
Compound: ZrCrNi2
Source: Alexandria via LeMat-Bulk
Functional: GGA-PBE
Structure: optimized geometry

Properties
space group	F-43m (216)
calculated formation energy	0.32	kcal/mol of atoms

Lattice parameters (Å, degrees): 4.2991 4.2991 4.2991 60.00 60.00 60.00
Closest atoms and distances in Å follow each position.
Atoms (fractional coordinates):
Cr  0.5000  0.5000  0.5000  4 Zr 2.63, 4 Ni 2.63
Ni  0.0000  0.0000  0.0000  4 Ni 2.63, 4 Zr 2.63
Ni  0.2500  0.2500  0.2500  4 Cr 2.63, 4 Ni 2.63
Zr  0.7500  0.7500  0.7500  4 Cr 2.63, 4 Ni 2.63

---

| no. | DOS(E_F) (states/eV/cell) |
| --- | --- |
| 1 | 2.38 |
| 2 | 2.57 |
| 3 | 8.16 |
| 4 | 2.52 |
| 5 | 7.51 |
| 6 | 2.80 |
| 7 | 2.61 |
| 8 | 4.96 |
| 9 | 8.03 |
| 10 | 7.01 |